5
Lattice="6.7245 0.0000 0.0000 0.0000 6.7245 0.0000 0.0000 0.0000 5.3902" Properties=species:S:1:pos:R:3 comment="PBE Cs2AgHgO, relaxed" raw_formation_energy_ev_per_atom=0.05 de_polymorph_ev_per_atom=0.5056 crystal_system=tetragonal dft_energy_ev_per_atom=-1.909 pbc="T T T"
Cs 0.0000 3.3623 0.0000
Cs 3.3623 0.0000 0.0000
Ag 0.0000 0.0000 0.0000
Hg 0.0000 0.0000 2.6951
O 3.3623 3.3623 2.6951